VASP calculation (PBE) on a geometry-optimized TaPb2BrCl structure.

It has space group P4/mmm (No. 123), with a = 6.013 Å, b = 6.013 Å, c = 4.713 Å, α = 90.00°, β = 90.00° and γ = 90.00°. The asymmetric unit holds Ta at (0.000, 0.000, 0.000), Pb at (0.000, 0.500, 0.500), Br at (0.000, 0.000, 0.500) and Cl at (0.500, 0.500, 0.000).

Its crystal system is tetragonal. As for the total energy: -3.640 eV per atom. As for the density of states at the Fermi level: 4.76 states/eV/f.u. The formation energy without anion corrections is 0.918 eV per atom.